# 1
Below is an optimized crystal structure of SbW5Br15, with properties calculated at the PBE level.

energy relative to the elements, uncorrected = -10.24 eV per formula unit
DFT total energy = -4.96 eV/atom
theoretical density = 5.04 g/cm3

Unit cell a=10.106 b=15.316 c=19.282 alpha=88.41 beta=81.84 gamma=88.22
Space group P-1 (No. 2)
Inequivalent atoms, fractional coordinates:
Sb 0.127 0.374 0.473 [2 per cell]
Sb 0.188 0.920 0.492 [2 per cell]
W 0.001 0.671 0.860 [2 per cell]
W 0.003 0.157 0.139 [2 per cell]
W 0.097 0.761 0.745 [2 per cell]
W 0.255 0.842 0.819 [2 per cell]
W 0.259 0.672 0.819 [2 per cell]
W 0.288 0.263 0.744 [2 per cell]
W 0.422 0.750 0.156 [2 per cell]
W 0.430 0.136 0.794 [2 per cell]
W 0.434 0.376 0.796 [2 per cell]
W 0.448 0.743 0.291 [2 per cell]
Br 0.053 0.768 0.615 [2 per cell]
Br 0.089 0.247 0.028 [2 per cell]
Br 0.095 0.274 0.672 [2 per cell]
Br 0.098 0.934 0.746 [2 per cell]
Br 0.102 0.053 0.571 [2 per cell]
Br 0.110 0.588 0.744 [2 per cell]
Br 0.156 0.918 0.933 [2 per cell]
Br 0.164 0.238 0.212 [2 per cell]
Br 0.164 0.590 0.933 [2 per cell]
Br 0.173 0.447 0.118 [2 per cell]
Br 0.175 0.145 0.829 [2 per cell]
Br 0.179 0.377 0.832 [2 per cell]
Br 0.179 0.514 0.536 [2 per cell]
Br 0.184 0.039 0.114 [2 per cell]
Br 0.196 0.435 0.349 [2 per cell]
Br 0.215 0.757 0.095 [2 per cell]
Br 0.282 0.019 0.387 [2 per cell]
Br 0.284 0.741 0.406 [2 per cell]
Br 0.304 0.626 0.240 [2 per cell]
Br 0.309 0.872 0.241 [2 per cell]
Br 0.350 0.294 0.480 [2 per cell]
Br 0.360 0.759 0.705 [2 per cell]
Br 0.404 0.139 0.660 [2 per cell]
Br 0.405 0.903 0.546 [2 per cell]
Br 0.409 0.387 0.662 [2 per cell]
Br 0.414 0.753 0.890 [2 per cell]
Br 0.448 0.960 0.791 [2 per cell]
Br 0.454 0.133 0.926 [2 per cell]
Br 0.458 0.551 0.794 [2 per cell]
Br 0.459 0.367 0.927 [2 per cell]

# 2
Below is an optimized crystal structure of Fe2CuMo, with properties calculated at the PBE level.

energy of formation from the pure elements = 0.25 eV per atom
DFT total energy = -7.71 eV/atom
theoretical density = 8.77 g/cm3
energy relative to the lowest polymorph listed for this composition = 104 meV/atom
N(E_F) = 4.01 states/eV/f.u.

Unit cell a=5.900 b=5.900 c=5.900 alpha=90.00 beta=90.00 gamma=90.00
Space group F-43m (No. 216)
Inequivalent atoms, fractional coordinates:
Fe 0.000 0.000 0.000 [4 per cell]
Fe 0.250 0.250 0.250 [4 per cell]
Cu 0.000 0.000 0.500 [4 per cell]
Mo 0.250 0.250 0.750 [4 per cell]

# 3
Below is an optimized crystal structure of TaCoRe, with properties calculated at the PBE level.

energy of formation from the pure elements = 0.87 eV per atom
DFT total energy = -9.60 eV/atom
theoretical density = 13.44 g/cm3
energy relative to the lowest polymorph listed for this composition = 918 meV/atom
N(E_F) = 3.86 states/eV/f.u.

Unit cell a=5.950 b=5.950 c=5.950 alpha=90.00 beta=90.00 gamma=90.00
Space group F-43m (No. 216)
Inequivalent atoms, fractional coordinates:
Ta 0.000 0.000 0.000 [4 per cell]
Co 0.250 0.250 0.250 [4 per cell]
Re 0.250 0.250 0.750 [4 per cell]

# 4
Below is an optimized crystal structure of Nd2PuScSe4, with properties calculated at the PBE level.

energy relative to the elements, uncorrected = -13.56 eV per formula unit
DFT total energy = -7.21 eV/atom
theoretical density = 7.49 g/cm3
N(E_F) = 9.86 states/eV/f.u.

Unit cell a=7.119 b=4.092 c=7.192 alpha=90.00 beta=108.99 gamma=90.00
Space group P2/m (No. 10)
Inequivalent atoms, fractional coordinates:
Nd 0.000 0.000 0.000 [1 per cell]
Nd 0.500 0.500 0.000 [1 per cell]
Pu 0.000 0.500 0.500 [1 per cell]
Sc 0.500 0.000 0.500 [1 per cell]
Se 0.254 0.000 0.735 [2 per cell]
Se 0.266 0.500 0.271 [2 per cell]

# 5
Below is an optimized crystal structure of K2As, with properties calculated at the PBE level.

energy of formation from the pure elements = -0.21 eV per atom
DFT total energy = -2.49 eV/atom
theoretical density = 2.24 g/cm3
N(E_F) = 3.09 states/eV/f.u.

Unit cell a=8.9354 b=8.9354 c=4.9238 alpha=90.00 beta=90.00 gamma=120.00
Space group P-62m (No. 189)
Inequivalent atoms, fractional coordinates:
K 0.0000 0.2567 0.0000 [3 per cell]
K 0.0000 0.5925 0.5000 [3 per cell]
As 0.0000 0.0000 0.5000 [1 per cell]
As 0.3333 0.6667 0.0000 [2 per cell]

# 6
Below is an optimized crystal structure of P2AuBr, with properties calculated at the PBE level.

energy relative to the elements, uncorrected = 2.31 eV per formula unit
DFT total energy = -3.36 eV/atom
theoretical density = 5.86 g/cm3
energy relative to the lowest polymorph listed for this composition = 467 meV/atom
N(E_F) = 0.61 states/eV/f.u.

Unit cell a=6.613 b=6.613 c=8.781 alpha=90.00 beta=90.00 gamma=90.00
Space group I-42d (No. 122)
Inequivalent atoms, fractional coordinates:
P 0.196 0.250 0.125 [8 per cell]
Au 0.000 0.000 0.000 [4 per cell]
Br 0.000 0.000 0.500 [4 per cell]

# 7
Below is an optimized crystal structure of Zr2PaZn, with properties calculated at the PBE level.

energy of formation from the pure elements = -0.03 eV per atom
DFT total energy = -7.00 eV/atom
theoretical density = 9.30 g/cm3
energy relative to the lowest polymorph listed for this composition = 0 meV/atom
N(E_F) = 5.73 states/eV/f.u.

Unit cell a=4.598 b=4.598 c=4.043 alpha=90.00 beta=90.00 gamma=90.00
Space group P4/mmm (No. 123)
Inequivalent atoms, fractional coordinates:
Zr 0.000 0.500 0.000 [2 per cell]
Pa 0.000 0.000 0.500 [1 per cell]
Zn 0.500 0.500 0.500 [1 per cell]

# 8
Below is an optimized crystal structure of Mg4PdPt15, with properties calculated at the PBE level.

energy of formation from the pure elements = -0.49 eV per atom
DFT total energy = -5.60 eV/atom
theoretical density = 16.73 g/cm3
N(E_F) = 20.11 states/eV/f.u.

Unit cell a=3.940 b=3.940 c=20.011 alpha=90.00 beta=90.00 gamma=90.00
Space group P4/mmm (No. 123)
Inequivalent atoms, fractional coordinates:
Mg 0.000 0.000 0.100 [2 per cell]
Mg 0.000 0.000 0.299 [2 per cell]
Pd 0.000 0.000 0.500 [1 per cell]
Pt 0.000 0.500 0.000 [2 per cell]
Pt 0.000 0.500 0.200 [4 per cell]
Pt 0.000 0.500 0.399 [4 per cell]
Pt 0.500 0.500 0.100 [2 per cell]
Pt 0.500 0.500 0.299 [2 per cell]
Pt 0.500 0.500 0.500 [1 per cell]

# 9
Below is an optimized crystal structure of CoTePb4, with properties calculated at the PBE level.

energy relative to the elements, uncorrected = 4.10 eV per formula unit
DFT total energy = -3.50 eV/atom
theoretical density = 9.09 g/cm3
N(E_F) = 6.77 states/eV/f.u.

Unit cell a=9.054 b=9.054 c=9.054 alpha=90.00 beta=90.00 gamma=90.00
Space group F-43m (No. 216)
Inequivalent atoms, fractional coordinates:
Co 0.000 0.000 0.000 [4 per cell]
Te 0.250 0.250 0.250 [4 per cell]
Pb 0.126 0.126 0.626 [16 per cell]

# 10
Below is an optimized crystal structure of Rb2CaCd, with properties calculated at the PBE level.

energy of formation from the pure elements = 0.22 eV per atom
DFT total energy = -0.99 eV/atom
theoretical density = 2.51 g/cm3
N(E_F) = 3.49 states/eV/f.u.

Unit cell a=4.1827 b=4.1827 c=42.3805 alpha=90.00 beta=90.00 gamma=120.00
Space group R-3m (No. 166, hexagonal axes)
Inequivalent atoms, fractional coordinates:
Rb 0.0000 0.0000 0.0967 [6 per cell]
Ca 0.0000 0.0000 0.0000 [3 per cell]
Cd 0.0000 0.0000 0.5000 [3 per cell]

# 11
Below is an optimized crystal structure of Nd6PdPt2I3, with properties calculated at the PBE level.

energy relative to the elements, uncorrected = -12.46 eV per formula unit
DFT total energy = -5.25 eV/atom
theoretical density = 7.51 g/cm3
N(E_F) = 8.15 states/eV/f.u.

Unit cell a=7.411 b=12.838 c=8.465 alpha=90.00 beta=106.97 gamma=90.00
Space group C2/m (No. 12)
Inequivalent atoms, fractional coordinates:
Nd 0.225 0.000 0.187 [4 per cell]
Nd 0.231 0.331 0.187 [8 per cell]
Pd 0.000 0.500 0.000 [2 per cell]
Pt 0.000 0.167 0.000 [4 per cell]
I 0.000 0.000 0.500 [2 per cell]
I 0.000 0.333 0.500 [4 per cell]

# 12
Below is an optimized crystal structure of SmY2Sb, with properties calculated at the PBE level.

energy relative to the elements, uncorrected = -1.35 eV per formula unit
DFT total energy = -5.78 eV/atom
theoretical density = 5.59 g/cm3
energy relative to the lowest polymorph listed for this composition = 250 meV/atom
N(E_F) = 4.70 states/eV/f.u.

Unit cell a=3.9774 b=3.9774 c=29.2741 alpha=90.00 beta=90.00 gamma=120.00
Space group R-3m (No. 166, hexagonal axes)
Inequivalent atoms, fractional coordinates:
Sm 0.0000 0.0000 0.0000 [3 per cell]
Y 0.0000 0.0000 0.2332 [6 per cell]
Sb 0.0000 0.0000 0.5000 [3 per cell]

# 13
Below is an optimized crystal structure of CrGeRh, with properties calculated at the PBE level.

energy of formation from the pure elements = -0.02 eV per atom
DFT total energy = -7.21 eV/atom
theoretical density = 7.69 g/cm3
N(E_F) = 3.09 states/eV/f.u.

Unit cell a=5.813 b=5.813 c=5.813 alpha=90.00 beta=90.00 gamma=90.00
Space group F-43m (No. 216)
Inequivalent atoms, fractional coordinates:
Cr 0.000 0.000 0.000 [4 per cell]
Ge 0.250 0.250 0.250 [4 per cell]
Rh 0.000 0.000 0.500 [4 per cell]

# 14
Below is an optimized crystal structure of PdNCl3, with properties calculated at the PBE level.

energy relative to the elements, uncorrected = 1.15 eV per formula unit
DFT total energy = -3.58 eV/atom
theoretical density = 2.65 g/cm3
energy relative to the lowest polymorph listed for this composition = 362 meV/atom
N(E_F) = 2.09 states/eV/f.u.

Unit cell a=8.887 b=6.677 c=12.079 alpha=90.00 beta=127.53 gamma=90.00
Space group P2_1/c (No. 14)
Inequivalent atoms, fractional coordinates:
Pd 0.088 0.065 0.403 [4 per cell]
N 0.341 0.137 0.471 [4 per cell]
Cl 0.063 0.714 0.317 [4 per cell]
Cl 0.218 0.550 0.136 [4 per cell]
Cl 0.406 0.130 0.372 [4 per cell]

# 15
Below is an optimized crystal structure of SrAcIrCl, with properties calculated at the PBE level.

energy relative to the elements, uncorrected = -4.40 eV per formula unit
DFT total energy = -5.22 eV/atom
theoretical density = 7.12 g/cm3
N(E_F) = 2.56 states/eV/f.u.

Unit cell a=4.2842 b=4.2842 c=23.8822 alpha=90.00 beta=90.00 gamma=120.00
Space group R3m (No. 160, hexagonal axes)
Inequivalent atoms, fractional coordinates:
Sr 0.0000 0.0000 0.0000 [3 per cell]
Ac 0.0000 0.0000 0.8054 [3 per cell]
Ir 0.0000 0.0000 0.4091 [3 per cell]
Cl 0.0000 0.0000 0.2385 [3 per cell]

# 16
Below is an optimized crystal structure of V2FeGe4, with properties calculated at the PBE level.

energy of formation from the pure elements = -0.03 eV per atom
DFT total energy = -6.49 eV/atom
theoretical density = 6.97 g/cm3
energy relative to the lowest polymorph listed for this composition = 0 meV/atom
N(E_F) = 4.83 states/eV/f.u.

Unit cell a=14.189 b=2.907 c=5.590 alpha=90.00 beta=112.18 gamma=90.00
Space group C2/m (No. 12)
Inequivalent atoms, fractional coordinates:
V 0.247 0.000 0.249 [4 per cell]
Fe 0.000 0.000 0.000 [2 per cell]
Ge 0.106 0.500 0.321 [4 per cell]
Ge 0.113 0.000 0.789 [4 per cell]

# 17
Below is an optimized crystal structure of AgPt2, with properties calculated at the PBE level.

energy of formation from the pure elements = 0.03 eV per atom
DFT total energy = -4.95 eV/atom
theoretical density = 16.92 g/cm3
energy relative to the lowest polymorph listed for this composition = 37 meV/atom
N(E_F) = 4.08 states/eV/f.u.

Unit cell a=2.791 b=2.791 c=12.548 alpha=90.00 beta=90.00 gamma=90.00
Space group I4/mmm (No. 139)
Inequivalent atoms, fractional coordinates:
Ag 0.000 0.000 0.000 [2 per cell]
Pt 0.000 0.000 0.329 [4 per cell]

# 18
Below is an optimized crystal structure of Tb2PrYTh, with properties calculated at the PBE level.

energy of formation from the pure elements = 0.42 eV per atom
DFT total energy = -5.16 eV/atom
theoretical density = 7.21 g/cm3
N(E_F) = 8.02 states/eV/f.u.

Unit cell a=8.580 b=11.994 c=6.976 alpha=90.00 beta=90.00 gamma=90.00
Space group Cmcm (No. 63)
Inequivalent atoms, fractional coordinates:
Tb 0.183 0.000 0.000 [8 per cell]
Pr 0.000 0.230 0.250 [4 per cell]
Y 0.000 0.228 0.750 [4 per cell]
Th 0.000 0.497 0.250 [4 per cell]

# 19
Below is an optimized crystal structure of Tm10Al3Pb3, with properties calculated at the PBE level.

energy of formation from the pure elements = -0.39 eV per atom
DFT total energy = -4.58 eV/atom
theoretical density = 9.12 g/cm3
N(E_F) = 12.65 states/eV/f.u.

Unit cell a=8.7915 b=8.7915 c=6.5039 alpha=90.00 beta=90.00 gamma=120.00
Space group P-62m (No. 189)
Inequivalent atoms, fractional coordinates:
Tm 0.0000 0.2374 0.0000 [3 per cell]
Tm 0.0000 0.7645 0.5000 [3 per cell]
Tm 0.3333 0.6667 0.2396 [4 per cell]
Al 0.0000 0.6014 0.0000 [3 per cell]
Pb 0.0000 0.4013 0.5000 [3 per cell]

# 20
Below is an optimized crystal structure of Zr2BeTc, with properties calculated at the PBE level.

energy of formation from the pure elements = 0.37 eV per atom
DFT total energy = -7.43 eV/atom
theoretical density = 6.64 g/cm3
N(E_F) = 3.30 states/eV/f.u.

Unit cell a=7.244 b=7.244 c=5.517 alpha=90.00 beta=90.00 gamma=90.00
Space group I-42d (No. 122)
Inequivalent atoms, fractional coordinates:
Zr 0.247 0.250 0.125 [8 per cell]
Be 0.000 0.000 0.500 [4 per cell]
Tc 0.000 0.000 0.000 [4 per cell]

# 21
Below is an optimized crystal structure of Ti6AlIn, with properties calculated at the PBE level.

energy of formation from the pure elements = -0.19 eV per atom
DFT total energy = -6.92 eV/atom
theoretical density = 5.13 g/cm3
N(E_F) = 6.78 states/eV/f.u.

Unit cell a=5.8277 b=5.8277 c=4.7249 alpha=90.00 beta=90.00 gamma=120.00
Space group P-6m2 (No. 187)
Inequivalent atoms, fractional coordinates:
Ti 0.1683 0.3367 0.0000 [3 per cell]
Ti 0.5027 0.0054 0.5000 [3 per cell]
Al 0.6667 0.3333 0.0000 [1 per cell]
In 0.0000 0.0000 0.5000 [1 per cell]